(1)
First-principles (PBE) data for a relaxed Y2Si4IrPt crystal, as listed in the Open Quantum Materials Database.

Its total energy is -114.53 eV/cell. The total magnetic moment comes out at 0.02 μB per cell.

The structure belongs to space group Amm2 (No. 38); the cell edges are 4.218, 4.134 and 16.702 Å and the angles 90.00°, 90.00° and 90.00°. Symmetry generates all atoms from Y at (0.000, 0.000, 0.000), Y at (0.500, 0.000, 0.208), Si at (0.000, 0.000, 0.357), Si at (0.000, 0.000, 0.637), Si at (0.500, 0.000, 0.567), Si at (0.500, 0.000, 0.854), Ir at (0.500, 0.000, 0.426) and Pt at (0.000, 0.000, 0.778).


(2)
First-principles (PBE) data for a relaxed LuZrTlTe3 crystal, as listed in the Open Quantum Materials Database.

Its total energy is -117.78 eV/cell. The calculation puts the energy above the most stable polymorph in this dataset at 32 meV per atom. The total magnetic moment comes out at 0.03 μB per cell.

The structure belongs to space group Cmcm (No. 63); the cell edges are 4.116, 15.247 and 11.440 Å and the angles 90.00°, 90.00° and 90.00°. Symmetry generates all atoms from Lu at (0.000, 0.068, 0.250), Zr at (0.000, 0.500, 0.000), Tl at (0.000, 0.255, 0.750), Te at (0.000, 0.141, 0.017) and Te at (0.000, 0.433, 0.250).


(3)
First-principles (PBE) data for a relaxed Li2MgScGa2Pd2 crystal, as listed in the Open Quantum Materials Database.

Its total energy is -32.98 eV/cell. The total magnetic moment comes out at 0.01 μB per cell.

The structure belongs to space group P-4m2 (No. 115); the cell edges are 4.458, 4.458 and 6.308 Å and the angles 90.00°, 90.00° and 90.00°. Symmetry generates all atoms from Li at (0.000, 0.500, 0.232), Mg at (0.500, 0.500, 0.000), Sc at (0.000, 0.000, 0.500), Ga at (0.000, 0.000, 0.000), Ga at (0.500, 0.500, 0.500) and Pd at (0.000, 0.500, 0.750).